[1]
Entry from Alexandria: an optimized crystal structure of KScSCl2 (PBE-GGA).

Output
Energy relative to the lowest polymorph listed for this composition (eV/f.u.): 0.00
Formation energy from raw total energies (eV/atom): -1.856
Electronic total energy (eV/atom): -4.91
M_tot (Bohr magnetons per cell): 0.0

Geometry as POSCAR:
```
KScSCl2
1.0
5.146 0.000 0.000
0.000 5.146 0.000
0.000 0.000 4.924
K Sc S Cl
1 1 1 2
Direct
0.000 0.000 0.000
0.500 0.500 0.500
0.500 0.500 0.000
0.000 0.500 0.500
0.500 0.000 0.500
```



[2]
Entry from Alexandria: an optimized crystal structure of KScS2Cl (PBE-GGA).

Output
Energy relative to the lowest polymorph listed for this composition (eV/f.u.): 8.36
Formation energy from raw total energies (eV/atom): 0.222
Electronic total energy (eV/atom): -3.28
M_tot (Bohr magnetons per cell): 1.0

Geometry as POSCAR:
```
KScS2Cl
1.0
5.312 0.000 0.000
0.000 5.312 0.000
0.000 0.000 5.195
K Sc S Cl
1 1 2 1
Direct
0.000 0.000 0.000
0.500 0.500 0.500
0.000 0.500 0.000
0.500 0.000 0.000
0.000 0.000 0.500
```



[3]
Entry from Alexandria: an optimized crystal structure of KScS2Cl (PBE-GGA).

Output
Energy relative to the lowest polymorph listed for this composition (eV/f.u.): 0.00
Formation energy from raw total energies (eV/atom): -1.450
Electronic total energy (eV/atom): -4.96
M_tot (Bohr magnetons per cell): 0.4

Geometry as POSCAR:
```
KScS2Cl
1.0
4.954 0.000 0.000
0.000 4.954 0.000
0.000 0.000 5.277
K Sc S Cl
1 1 2 1
Direct
0.000 0.000 0.000
0.500 0.500 0.500
0.000 0.500 0.500
0.500 0.000 0.500
0.500 0.500 0.000
```